DFT (PBE) results for a relaxed LiCaCr crystal.

Unit cell a=5.050 b=5.050 c=5.050 alpha=60.00 beta=60.00 gamma=60.00
Element x y z (fractional)
1 Li 0.000 0.000 0.000
2 Ca 0.500 0.500 0.500
3 Cr 0.750 0.750 0.750

Properties
M_tot: 4.94 μB/cell
Fermi-level density of states: 1.6 states/eV/f.u.
Crystal system: cubic
Formation energy from the elements: 0.7610 eV per atom
VASP energy: -3.752 eV/atom



DFT (PBE) results for a relaxed LiCaCr crystal.

Unit cell a=6.108 b=6.108 c=6.108 alpha=145.24 beta=145.24 gamma=49.98
Element x y z (fractional)
1 Li 0.000 0.000 0.000
2 Ca 0.301 0.301 0.000
3 Cr 0.614 0.614 0.000

Properties
M_tot: 4.44 μB/cell
Fermi-level density of states: 2.4 states/eV/f.u.
Crystal system: tetragonal
Formation energy from the elements: 0.5069 eV per atom
VASP energy: -4.006 eV/atom



DFT (PBE) results for a relaxed LiCaCr2 crystal.

Unit cell a=5.857 b=5.857 c=3.105 alpha=102.20 beta=102.20 gamma=118.46
Element x y z (fractional)
1 Li 0.000 0.000 0.000
2 Ca 0.500 0.500 0.000
3 Cr 0.000 0.500 0.500
4 Cr 0.500 0.000 0.500

Properties
M_tot: 7.99 μB/cell
Fermi-level density of states: 3.7 states/eV/f.u.
Crystal system: monoclinic
Formation energy from the elements: 0.8535 eV per atom
VASP energy: -4.937 eV/atom



DFT (PBE) results for a relaxed LiCaCr crystal.

Unit cell a=5.121 b=5.121 c=5.121 alpha=60.00 beta=60.00 gamma=60.00
Element x y z (fractional)
1 Li 0.000 0.000 0.000
2 Ca 0.750 0.750 0.750
3 Cr 0.500 0.500 0.500

Properties
M_tot: 4.93 μB/cell
Fermi-level density of states: 1.6 states/eV/f.u.
Crystal system: cubic
Formation energy from the elements: 0.9591 eV per atom
VASP energy: -3.554 eV/atom



DFT (PBE) results for a relaxed LiCaCr2 crystal.

Unit cell a=3.423 b=3.407 c=7.492 alpha=90.00 beta=90.06 gamma=90.00
Element x y z (fractional)
1 Li 0.000 0.000 0.000
2 Ca 0.000 0.000 0.500
3 Cr 0.500 0.500 0.205
4 Cr 0.500 0.500 0.795

Properties
M_tot: 8.82 μB/cell
Fermi-level density of states: 2.7 states/eV/f.u.
Crystal system: monoclinic
Formation energy from the elements: 0.7835 eV per atom
VASP energy: -5.007 eV/atom



DFT (PBE) results for a relaxed LiCaCr2 crystal.

Unit cell a=10.316 b=10.316 c=10.316 alpha=157.30 beta=157.30 gamma=32.33
Element x y z (fractional)
1 Li 0.375 0.625 0.750
2 Li 0.625 0.375 0.250
3 Ca 0.125 0.875 0.250
4 Ca 0.875 0.125 0.750
5 Cr 0.000 0.500 0.500
6 Cr 0.500 0.000 0.000
7 Cr 0.500 0.500 0.000
8 Cr 0.500 0.500 0.500

Properties
M_tot: 0.00 μB/cell
Fermi-level density of states: 5.7 states/eV/f.u.
Crystal system: tetragonal
Formation energy from the elements: 1.0981 eV per atom
VASP energy: -4.692 eV/atom